1.
# LiHgAu4, relaxed, DFT PBE
data_LiHgAu4
_chemical_formula_sum 'Li2 Hg2 Au8'
_space_group_name_H-M_alt 'C 1 2/m 1'
_space_group_IT_number 12
_space_group_name_Hall '-C 2y'
_cell_length_a 9.2106
_cell_length_b 4.1518
_cell_length_c 5.9326
_cell_angle_alpha 90.00
_cell_angle_beta 106.98
_cell_angle_gamma 90.00
loop_
_atom_site_label
_atom_site_type_symbol
_atom_site_fract_x
_atom_site_fract_y
_atom_site_fract_z
_atom_site_occupancy
Li1 Li 0.0000 0.0000 0.0000 1
Hg1 Hg 0.0000 0.0000 0.5000 1
Au1 Au 0.1599 0.5000 0.3175 1
Au2 Au 0.1697 0.5000 0.8398 1
# Excess energy over the best structure of this formula in the dataset (eV per formula unit): 0.00

2.
A plane-wave DFT calculation with PBE was carried out for crystalline Li3HgAu2 at its relaxed geometry.

```
data_Li3HgAu2
_chemical_formula_sum 'Li3 Hg1 Au2'
_space_group_name_H-M_alt 'P 4/m m m'
_space_group_IT_number 123
_space_group_name_Hall '-P 4 2'
_cell_length_a 3.1693
_cell_length_b 3.1693
_cell_length_c 9.7809
_cell_angle_alpha 90.00
_cell_angle_beta 90.00
_cell_angle_gamma 90.00
loop_
_atom_site_label
_atom_site_type_symbol
_atom_site_fract_x
_atom_site_fract_y
_atom_site_fract_z
_atom_site_occupancy
Li1 Li 0.0000 0.0000 0.0000 1
Li2 Li 0.0000 0.0000 0.3104 1
Hg1 Hg 0.5000 0.5000 0.5000 1
Au1 Au 0.5000 0.5000 0.1570 1
```

3.
# Li6HgAu3, relaxed, DFT PBE
data_Li6HgAu3
_chemical_formula_sum 'Li12 Hg2 Au6'
_space_group_name_H-M_alt 'C 1 2/m 1'
_space_group_IT_number 12
_space_group_name_Hall '-C 2y'
_cell_length_a 8.9626
_cell_length_b 5.6308
_cell_length_c 7.3647
_cell_angle_alpha 90.00
_cell_angle_beta 110.34
_cell_angle_gamma 90.00
loop_
_atom_site_label
_atom_site_type_symbol
_atom_site_fract_x
_atom_site_fract_y
_atom_site_fract_z
_atom_site_occupancy
Li1 Li 0.1524 0.2319 0.3177 1
Li2 Li 0.1624 0.5000 0.9350 1
Hg1 Hg 0.0000 0.5000 0.5000 1
Au1 Au 0.0000 0.0000 0.0000 1
Au2 Au 0.1202 0.0000 0.6944 1
# Excess energy over the best structure of this formula in the dataset (eV per formula unit): 0.89

What ΔE_f values result from the calculations? In sequence: -0.19, -0.48, -0.37 eV/atom.
What electronic total energy values result from the calculations? In sequence: -2.7436, -2.5787, -2.5299 eV/atom.